Below is an optimized crystal structure of Li5V3Ni2O10, with properties calculated at the PBE+U level.

Lattice parameters (Å, degrees): 5.0661 5.7262 7.8019 70.90 71.28 65.33
Space group P-1 (No. 2)
One atom of each set of equivalent atoms:
1 Li 0.0000 0.0000 0.0000 [1 per cell]
2 Li 0.1600 0.5331 0.0744 [2 per cell]
3 Li 0.4204 0.4466 0.7334 [2 per cell]
4 V 0.0000 0.5000 0.5000 [1 per cell]
5 V 0.2129 0.9678 0.6228 [2 per cell]
6 Ni 0.4014 0.0149 0.1852 [2 per cell]
7 O 0.0467 0.2190 0.3725 [2 per cell]
8 O 0.1374 0.7511 0.2712 [2 per cell]
9 O 0.2496 0.2361 0.9570 [2 per cell]
10 O 0.3420 0.7657 0.8252 [2 per cell]
11 O 0.4254 0.2262 0.5539 [2 per cell]

Properties
**Polymorph energy (0 for the lowest one)**: 91 meV/atom
**Calculated volume**: 9.49 A^3/atom
**Magnetization**: 8.00 Bohr magnetons per cell